[1]
Density functional theory data (PBE-GGA) for a relaxed structure of Mg2BeFe.

Unit cell a=9.031 b=9.031 c=9.031 alpha=17.91 beta=17.91 gamma=17.91
Atoms (fractional coordinates):
Mg  0.250  0.250  0.250
Mg  0.750  0.750  0.750
Be  0.000  0.000  0.000
Fe  0.500  0.500  0.500

Output
Fermi-level density of states   2.6 states/eV/cell
Total moment   2.4 μB/cell
Formation energy   450 meV per atom



[2]
Density functional theory data (PBE-GGA) for a relaxed structure of Ce3Y2PaP6.

Unit cell a=6.993 b=6.993 c=7.019 alpha=99.55 beta=99.55 gamma=119.99
Atoms (fractional coordinates):
Ce  0.000  0.000  0.000
Ce  0.332  0.668  0.000
Ce  0.668  0.332  0.000
Y  0.166  0.834  0.500
Y  0.834  0.166  0.500
Pa  0.500  0.500  0.500
P  0.091  0.419  0.257
P  0.253  0.253  0.743
P  0.419  0.091  0.257
P  0.581  0.909  0.743
P  0.747  0.747  0.257
P  0.909  0.581  0.743

Output
Fermi-level density of states   17.4 states/eV/cell
Total moment   2.0 μB/cell
Formation energy   -1516 meV per atom



[3]
Density functional theory data (PBE-GGA) for a relaxed structure of NbBC.

Unit cell a=5.054 b=3.628 c=3.628 alpha=87.24 beta=90.00 gamma=90.00
Atoms (fractional coordinates):
Nb  0.172  0.250  0.750
Nb  0.828  0.750  0.250
B  0.332  0.689  0.189
B  0.668  0.189  0.689
C  0.500  0.404  0.404
C  0.500  0.904  0.904

Output
Fermi-level density of states   2.0 states/eV/cell
Total moment   0.0 μB/cell
Formation energy   458 meV per atom